[1]
A relaxed structure of PuIn2Rh. Source: Alexandria via LeMat-Bulk, functional GGA-PBE.

Results
volume	88.9	Å³ per cell
formation energy	-0.115	eV per atom
spin magnetization	5.96	μB per formula unit

Unit cell a=3.2870 b=3.2870 c=9.6861 alpha=80.25 beta=80.25 gamma=60.01
Site moments in Bohr magnetons follow the coordinates.
Element x y z (fractional)
In 0.2640 0.2640 0.2080  -0.01
In 0.0693 0.0693 0.7920  -0.01
Pu 0.4999 0.4999 0.5002  5.57
Rh 0.6668 0.6668 0.9997  0.04

[2]
A relaxed structure of Pu3In7Rh4. Source: Alexandria via LeMat-Bulk, functional GGA-PBE.

Results
volume	309.7	Å³ per cell
formation energy	-0.336	eV per atom
spin magnetization	15.72	μB per formula unit

Unit cell a=4.2392 b=8.4655 c=9.6328 alpha=69.45 beta=77.30 gamma=75.25
Site moments in Bohr magnetons follow the coordinates.
Element x y z (fractional)
In 0.6791 0.1603 0.4816  -0.01
In 0.5097 0.7608 0.2204  0.01
In 0.0000 0.0000 0.0000  -0.02
In 0.8327 0.3962 0.9374  0.00
In 0.1673 0.6038 0.0626  0.00
In 0.3209 0.8397 0.5184  -0.01
In 0.4903 0.2392 0.7796  0.01
Rh 0.3261 0.5730 0.7705  -0.17
Rh 0.6739 0.4270 0.2295  -0.17
Rh 0.8802 0.9218 0.3157  -0.19
Rh 0.1198 0.0782 0.6843  -0.19
Pu 0.6939 0.8215 0.7905  5.15
Pu 0.0000 0.5000 0.5000  5.40
Pu 0.3061 0.1785 0.2095  5.15

[3]
A relaxed structure of PuIn4Rh5. Source: Alexandria via LeMat-Bulk, functional GGA-PBE.

Results
volume	175.4	Å³ per cell
formation energy	-0.408	eV per atom
spin magnetization	4.68	μB per formula unit

Unit cell a=3.1815 b=3.1815 c=17.3335 alpha=90.00 beta=90.00 gamma=90.00
Site moments in Bohr magnetons follow the coordinates.
Element x y z (fractional)
Rh 0.5000 0.5000 0.5000  0.01
Rh 0.5000 0.5000 0.1131  0.15
Rh 0.5000 0.5000 0.8869  0.15
Rh 0.5000 0.5000 0.6922  0.03
Rh 0.5000 0.5000 0.3078  0.03
In 0.0000 0.0000 0.2093  0.01
In 0.0000 0.0000 0.5965  0.01
In 0.0000 0.0000 0.7907  0.01
In 0.0000 0.0000 0.4035  0.01
Pu 0.0000 0.0000 0.0000  -4.99

[4]
A relaxed structure of PuInRh4. Source: Alexandria via LeMat-Bulk, functional GGA-PBE.

Results
volume	202.2	Å³ per cell
formation energy	-0.319	eV per atom
spin magnetization	3.03	μB per formula unit

Unit cell a=4.1270 b=7.7814 c=6.6260 alpha=90.00 beta=108.15 gamma=90.00
Site moments in Bohr magnetons follow the coordinates.
Element x y z (fractional)
Pu 0.8448 0.2500 0.6896  4.42
Pu 0.1552 0.7500 0.3104  4.42
In 0.8468 0.7500 0.6936  0.01
In 0.1532 0.2500 0.3064  0.01
Rh 0.0000 0.5000 0.0000  -0.32
Rh 0.6653 0.5036 0.3309  -0.39
Rh 0.5012 0.2500 0.0022  -0.39
Rh 0.0000 0.0000 0.0000  -0.32
Rh 0.3347 0.4964 0.6691  -0.39
Rh 0.6653 0.9964 0.3309  -0.39
Rh 0.3347 0.0036 0.6691  -0.39
Rh 0.4988 0.7500 0.9978  -0.39

[5]
A relaxed structure of PuIn3Rh. Source: Alexandria via LeMat-Bulk, functional GGA-PBE.

Results
volume	251.1	Å³ per cell
formation energy	-0.124	eV per atom
spin magnetization	5.56	μB per formula unit

Unit cell a=6.7271 b=6.7271 c=6.7271 alpha=67.83 beta=67.83 gamma=67.83
Site moments in Bohr magnetons follow the coordinates.
Element x y z (fractional)
In 0.4290 0.5256 0.8861  0.00
In 0.8861 0.4290 0.5256  0.00
In 0.5256 0.8861 0.4290  0.00
In 0.3861 0.0256 0.9290  0.00
In 0.9290 0.3861 0.0256  0.00
In 0.0256 0.9290 0.3861  0.00
Pu 0.4268 0.4268 0.4268  5.38
Pu 0.9268 0.9268 0.9268  5.38
Rh 0.2507 0.2507 0.2507  -0.11
Rh 0.7507 0.7507 0.7507  -0.11

[6]
A relaxed structure of Pu5InRh6. Source: Alexandria via LeMat-Bulk, functional GGA-PBE.

Results
volume	235.4	Å³ per cell
formation energy	-0.405	eV per atom
spin magnetization	14.49	μB per formula unit

Unit cell a=4.7017 b=6.8662 c=7.6628 alpha=90.00 beta=72.13 gamma=90.00
Site moments in Bohr magnetons follow the coordinates.
Element x y z (fractional)
Rh 0.8352 0.2401 0.3295  0.23
Rh 0.1648 0.7599 0.6705  0.23
Rh 0.5000 0.7494 0.0000  0.05
Rh 0.1648 0.2401 0.6705  0.23
Rh 0.5000 0.2506 0.0000  0.05
Rh 0.8352 0.7599 0.3295  0.23
In 0.0000 0.0000 0.0000  0.01
Pu 0.6675 0.5000 0.6650  -4.99
Pu 0.3383 0.0000 0.3235  -4.95
Pu 0.6617 0.0000 0.6765  -4.95
Pu 0.0000 0.5000 0.0000  4.85
Pu 0.3325 0.5000 0.3350  -4.99

[7]
A relaxed structure of PuIn2Rh. Source: Alexandria via LeMat-Bulk, functional GGA-PBE.

Results
volume	93.0	Å³ per cell
formation energy	0.096	eV per atom
spin magnetization	5.88	μB per formula unit

Unit cell a=3.1880 b=3.1880 c=10.7272 alpha=81.45 beta=81.45 gamma=60.00
Site moments in Bohr magnetons follow the coordinates.
Element x y z (fractional)
Rh 0.5000 0.5000 0.5000  -0.13
In 0.8984 0.8984 0.3049  0.00
In 0.1016 0.1016 0.6951  0.00
Pu 0.0000 0.0000 0.0000  5.61

[8]
A relaxed structure of Pu3InRh4. Source: Alexandria via LeMat-Bulk, functional GGA-PBE.

Results
volume	155.0	Å³ per cell
formation energy	-0.442	eV per atom
spin magnetization	14.78	μB per formula unit

Unit cell a=4.8231 b=4.8230 c=7.4855 alpha=108.81 beta=108.81 gamma=89.98
Site moments in Bohr magnetons follow the coordinates.
Element x y z (fractional)
Rh 0.8782 0.8785 0.7569  0.24
Rh 0.6215 0.6218 0.2431  0.24
Rh 0.1218 0.1215 0.2431  0.24
Rh 0.3785 0.3782 0.7569  0.24
Pu 0.2565 0.7565 0.5130  -5.07
Pu 0.7435 0.2435 0.4870  -5.07
Pu 0.0000 0.5000 0.0000  -4.99
In 0.5000 0.0000 0.0000  0.00

[9]
A relaxed structure of PuIn2Rh. Source: Alexandria via LeMat-Bulk, functional GGA-PBE.

Results
volume	85.2	Å³ per cell
formation energy	-0.299	eV per atom
spin magnetization	6.05	μB per formula unit

Unit cell a=3.2566 b=3.2566 c=8.0300 alpha=90.00 beta=90.00 gamma=90.00
Site moments in Bohr magnetons follow the coordinates.
Element x y z (fractional)
Pu 0.5000 0.5000 0.5000  5.61
Rh 0.5000 0.5000 0.0000  0.07
In 0.0000 0.0000 0.2015  -0.01
In 0.0000 0.0000 0.7985  -0.01

[10]
A relaxed structure of Pu3In3Ru2Rh. Source: Alexandria via LeMat-Bulk, functional GGA-PBE.

Results
volume	191.5	Å³ per cell
formation energy	-0.287	eV per atom
spin magnetization	15.00	μB per formula unit

Unit cell a=3.9556 b=7.4771 c=7.4771 alpha=120.00 beta=90.00 gamma=90.00
Site moments in Bohr magnetons follow the coordinates.
Element x y z (fractional)
Ru 0.5000 0.6667 0.3333  -0.67
Ru 0.5000 0.3333 0.6667  -0.67
Rh 0.0000 0.0000 0.0000  -0.04
Pu 0.0000 0.5845 0.5845  5.13
Pu 0.0000 0.4155 0.0000  5.13
Pu 0.0000 0.0000 0.4155  5.13
In 0.5000 0.7479 0.0000  0.02
In 0.5000 0.0000 0.7479  0.02
In 0.5000 0.2521 0.2521  0.02

[11]
A relaxed structure of TmPuInRh. Source: Alexandria via LeMat-Bulk, functional GGA-PBE.

Results
volume	92.3	Å³ per cell
formation energy	-0.326	eV per atom
spin magnetization	5.26	μB per formula unit

Unit cell a=5.0733 b=5.0733 c=5.0733 alpha=60.00 beta=60.00 gamma=60.00
Site moments in Bohr magnetons follow the coordinates.
Element x y z (fractional)
Rh 0.0000 0.0000 0.0000  -0.23
Pu 0.7500 0.7500 0.7500  5.23
In 0.5000 0.5000 0.5000  -0.01
Tm 0.2500 0.2500 0.2500  0.05

[12]
A relaxed structure of PuUInRh. Source: Alexandria via LeMat-Bulk, functional GGA-PBE.

Results
volume	82.9	Å³ per cell
formation energy	-0.215	eV per atom
spin magnetization	8.00	μB per formula unit

Unit cell a=4.8948 b=4.8948 c=4.8948 alpha=60.00 beta=60.00 gamma=60.00
Site moments in Bohr magnetons follow the coordinates.
Element x y z (fractional)
U 0.2500 0.2500 0.2500  2.36
Pu 0.5000 0.5000 0.5000  5.47
In 0.7500 0.7500 0.7500  0.00
Rh 0.0000 0.0000 0.0000  -0.11

Question: Which formula does entry 1 have?
Answer: PuIn2Rh